(1)
Material: RbLa2Au2
Method: DFT, PBE-GGA
State: relaxed

a = 5.6388 Å, b = 5.6388 Å, c = 12.2591 Å
α = 90.00°, β = 90.00°, γ = 90.00°
Closest atoms and distances in Å follow each position.
Space group I4/mmm (No. 139)
Unique sites:
Rb  0.0000  0.0000  0.0000  10 La 4.15-4.45, 8 Au 4.16
La  0.0000  0.0000  0.3385  4 Au 3.02
Au  0.0000  0.5000  0.2500  4 La 3.02

Results
DFT total energy, eV/atom: -3.718
Calculated formation energy, eV/atom: -0.24
Crystal system: tetragonal
Total magnetic moment, μB/f.u.: 1.5

(2)
Material: Ce2PmHo3Bi6
Method: DFT, PBE-GGA
State: relaxed

a = 19.7147 Å, b = 4.5357 Å, c = 9.0482 Å
α = 90.00°, β = 103.09°, γ = 90.00°
Closest atoms and distances in Å follow each position.
Space group C2/m (No. 12)
Unique sites:
Ce  0.1662  0.0000  0.3321  6 Bi 3.22-3.24
Pm  0.0000  0.5000  0.0000  6 Bi 3.24
Ho  0.0000  0.5000  0.5000  6 Bi 3.17
Ho  0.1662  0.0000  0.8335  6 Bi 3.16-3.18
Bi  0.0016  0.0000  0.7454  3 Ho 3.16-3.17, 1 Ce 3.22, 2 Pm 3.24
Bi  0.1650  0.5000  0.5874  3 Ho 3.17, 3 Ce 3.24
Bi  0.1685  0.5000  0.0788  3 Ho 3.17-3.18, 2 Ce 3.23, 1 Pm 3.24

Results
DFT total energy, eV/atom: -5.310
Calculated formation energy, eV/atom: -0.84
Crystal system: monoclinic
Total magnetic moment, μB/f.u.: 1.6

(3)
Material: Al2TlTeO8
Method: DFT, PBE-GGA
State: relaxed

a = 6.4675 Å, b = 6.5232 Å, c = 6.3112 Å
α = 90.00°, β = 90.00°, γ = 90.00°
Closest atoms and distances in Å follow each position.
Space group Cmmm (No. 65)
Unique sites:
Al  0.0000  0.0000  0.2454  6 O 1.92-2.00
Tl  0.0000  0.5000  0.5000  6 O 2.15-2.22
Te  0.0000  0.5000  0.0000  6 O 1.94-1.97
O  0.0000  0.2931  0.2214  1 Al 1.92, 1 Te 1.94
O  0.1673  0.0000  0.5000  2 Al 1.94, 1 Tl 2.15, 1 O 2.16
O  0.1948  0.0000  0.0000  1 Te 1.97, 2 Al 2.00

Results
DFT total energy, eV/atom: -5.954
ΔE_f (raw), meV/atom: -1566
Crystal system: orthorhombic
Total magnetic moment, μB/f.u.: 0.0

(4)
Material: Y3Ge4Rh7
Method: DFT, PBE-GGA
State: relaxed

a = 15.4076 Å, b = 4.0756 Å, c = 9.3599 Å
α = 90.00°, β = 124.90°, γ = 90.00°
Closest atoms and distances in Å follow each position.
Space group C2/m (No. 12)
Unique sites:
Y  0.0000  0.0000  0.0000  6 Ge 2.90-3.13
Y  0.1692  0.5000  0.6649  9 Rh 2.95-3.15, 4 Ge 3.01-3.05
Ge  0.1119  0.0000  0.8351  6 Rh 2.51-2.59
Ge  0.1662  0.5000  0.2763  5 Rh 2.47-2.53
Rh  0.0000  0.0000  0.5000  2 Ge 2.57
Rh  0.0066  0.5000  0.2782  3 Ge 2.47-2.53
Rh  0.1618  0.0000  0.4238  3 Ge 2.48-2.53
Rh  0.1945  0.5000  0.0413  4 Ge 2.47-2.59

Results
DFT total energy, eV/atom: -7.255
Calculated formation energy, eV/atom: -0.88
Crystal system: monoclinic
Total magnetic moment, μB/f.u.: 0.0

(5)
Material: DyURu2
Method: DFT, PBE-GGA
State: relaxed

a = 5.1971 Å, b = 6.2097 Å, c = 11.2897 Å
α = 90.00°, β = 117.32°, γ = 90.00°
Closest atoms and distances in Å follow each position.
Space group P2_1/c (No. 14)
Unique sites:
Dy  0.0968  0.1877  0.3474  5 Ru 2.93-3.13, 2 U 3.22-3.23
U  0.3875  0.5062  0.6374  2 Ru 2.31-2.34
Ru  0.1940  0.7077  0.4441  1 U 2.31
Ru  0.3821  0.0611  0.6313  1 U 2.34

Results
DFT total energy, eV/atom: -8.987
Calculated formation energy, eV/atom: -0.38
Crystal system: monoclinic
Total magnetic moment, μB/f.u.: 0.0

(6)
Material: CsPuMoN4
Method: DFT, PBE-GGA
State: relaxed

a = 5.9457 Å, b = 5.9251 Å, c = 8.2326 Å
α = 90.00°, β = 92.32°, γ = 90.00°
Closest atoms and distances in Å follow each position.
Space group P2_1/m (No. 11)
Unique sites:
Cs  0.2338  0.2500  0.1122  5 N 3.00-3.28
Pu  0.1865  0.7500  0.4636  6 N 2.21-2.42
Mo  0.3247  0.2500  0.6463  4 N 1.83-1.90
N  0.1115  0.0111  0.6497  1 Mo 1.90
N  0.3907  0.7500  0.2450  1 Mo 1.88
N  0.4518  0.2500  0.4478  1 Mo 1.83

Results
DFT total energy, eV/atom: -8.918
ΔE_f (raw), meV/atom: -444
Crystal system: monoclinic
Total magnetic moment, μB/f.u.: 3.0